Entry 1:
First-principles (PBE) data for a geometry-optimized CeNpNiOs structure, as listed in Alexandria via LeMat-Bulk.

Lattice parameters (Å, degrees): 4.6000 4.6000 4.6000 60.00 60.00 60.00
With the nearest neighbours (Å) after each atom.
Positions (direct):
Np1 0.7500 0.7500 0.7500  4 Os 2.82, 4 Ce 2.82
Ni1 0.2500 0.2500 0.2500  4 Ce 2.82, 4 Os 2.82
Os1 0.0000 0.0000 0.0000  4 Ni 2.82, 4 Np 2.82
Ce1 0.5000 0.5000 0.5000  4 Np 2.82, 4 Ni 2.82

Output
The calculation puts the density of states at the Fermi level at 9.944 states/eV per cell. The total DFT energy (no corrections) comes out at -9.01 eV per atom. Its space-group type is F-43m (216).


Entry 2:
First-principles (PBE) data for a geometry-optimized CeNpNiPd structure, as listed in Alexandria via LeMat-Bulk.

Lattice parameters (Å, degrees): 4.6476 4.6476 4.6476 60.00 60.00 60.00
With the nearest neighbours (Å) after each atom.
Positions (direct):
Np1 0.0000 0.0000 0.0000  4 Ce 2.85, 4 Ni 2.85
Ni1 0.2500 0.2500 0.2500  4 Pd 2.85, 4 Np 2.85
Pd1 0.5000 0.5000 0.5000  4 Ni 2.85, 4 Ce 2.85
Ce1 0.7500 0.7500 0.7500  4 Np 2.85, 4 Pd 2.85

Output
The calculation puts the density of states at the Fermi level at 10.305 states/eV per cell. The total DFT energy (no corrections) comes out at -7.77 eV per atom. Its space-group type is F-43m (216).


Entry 3:
First-principles (PBE) data for a geometry-optimized CeNpNiPt structure, as listed in Alexandria via LeMat-Bulk.

Lattice parameters (Å, degrees): 4.6635 4.6635 4.6635 60.00 60.00 60.00
With the nearest neighbours (Å) after each atom.
Positions (direct):
Np1 0.2500 0.2500 0.2500  4 Ce 2.86, 4 Pt 2.86
Ni1 0.7500 0.7500 0.7500  4 Ce 2.86, 4 Pt 2.86
Ce1 0.0000 0.0000 0.0000  4 Np 2.86, 4 Ni 2.86
Pt1 0.5000 0.5000 0.5000  4 Ni 2.86, 4 Np 2.86

Output
The calculation puts the density of states at the Fermi level at 9.378 states/eV per cell. The total DFT energy (no corrections) comes out at -8.17 eV per atom. Its space-group type is F-43m (216).


Entry 4:
First-principles (PBE) data for a geometry-optimized CeNpNiRh structure, as listed in Alexandria via LeMat-Bulk.

Lattice parameters (Å, degrees): 4.6061 4.6061 4.6061 60.00 60.00 60.00
With the nearest neighbours (Å) after each atom.
Positions (direct):
Np1 0.5000 0.5000 0.5000  4 Ce 2.82, 4 Rh 2.82
Ni1 0.0000 0.0000 0.0000  4 Ce 2.82, 4 Rh 2.82
Rh1 0.2500 0.2500 0.2500  4 Ni 2.82, 4 Np 2.82
Ce1 0.7500 0.7500 0.7500  4 Ni 2.82, 4 Np 2.82

Output
The calculation puts the density of states at the Fermi level at 10.955 states/eV per cell. The total DFT energy (no corrections) comes out at -8.32 eV per atom. Its space-group type is F-43m (216).


Entry 5:
First-principles (PBE) data for a geometry-optimized CeNpNiRu structure, as listed in Alexandria via LeMat-Bulk.

Lattice parameters (Å, degrees): 4.5883 4.5883 4.5883 60.00 60.00 60.00
With the nearest neighbours (Å) after each atom.
Positions (direct):
Np1 0.0000 0.0000 0.0000  4 Ru 2.81, 4 Ce 2.81
Ru1 0.2500 0.2500 0.2500  4 Ni 2.81, 4 Np 2.81
Ce1 0.7500 0.7500 0.7500  4 Np 2.81, 4 Ni 2.81
Ni1 0.5000 0.5000 0.5000  4 Ce 2.81, 4 Ru 2.81

Output
The calculation puts the density of states at the Fermi level at 9.954 states/eV per cell. The total DFT energy (no corrections) comes out at -8.60 eV per atom. Its space-group type is F-43m (216).


Entry 6:
First-principles (PBE) data for a geometry-optimized Ce2NpNiS5 structure, as listed in Alexandria via LeMat-Bulk.

Lattice parameters (Å, degrees): 3.8428 8.3751 11.8306 90.00 90.00 103.26
With the nearest neighbours (Å) after each atom.
Positions (direct):
Ce1 0.8866 0.7731 0.8487  7 S 2.84-3.01
Ce2 0.1177 0.2355 0.6978  8 S 2.84-3.14
Ce3 0.1134 0.2269 0.3487  7 S 2.84-3.01
Ce4 0.8823 0.7645 0.1978  8 S 2.84-3.14
Np1 0.8212 0.6423 0.5270  6 S 2.65-2.73
Np2 0.1788 0.3577 0.0270  6 S 2.65-2.73
Ni1 0.5513 0.1025 0.9171  4 S 2.20-2.27
Ni2 0.4487 0.8975 0.4171  4 S 2.20-2.27
S1 0.3451 0.6902 0.0222  1 Np 2.71, 4 Ce 2.89
S2 0.6840 0.3680 0.8649  1 Ni 2.25
S3 0.4946 0.9892 0.7484  1 Ni 2.20
S4 0.3036 0.6072 0.6896  2 Np 2.73, 3 Ce 3.01-3.03
S5 0.9832 0.9665 0.5083  2 Ni 2.27
S6 0.6549 0.3098 0.5222  1 Np 2.71, 4 Ce 2.89
S7 0.3160 0.6320 0.3649  1 Ni 2.25
S8 0.5054 0.0108 0.2484  1 Ni 2.20
S9 0.6964 0.3928 0.1896  2 Np 2.73, 3 Ce 3.01-3.03
S10 0.0168 0.0335 0.0083  2 Ni 2.27

Output
The calculation puts the density of states at the Fermi level at 37.068 states/eV per cell. The total DFT energy (no corrections) comes out at -7.27 eV per atom. Its space-group type is Cmc2_1 (36).


Entry 7:
First-principles (PBE) data for a geometry-optimized Ce2NpNiS4 structure, as listed in Alexandria via LeMat-Bulk.

Lattice parameters (Å, degrees): 6.8638 5.8873 5.8873 70.13 54.34 54.34
With the nearest neighbours (Å) after each atom.
Positions (direct):
Ce1 0.0000 0.5000 0.5000  4 S 2.81
Ce2 0.5000 0.5000 0.5000  4 S 2.81
Np1 0.0000 0.0000 0.0000  4 S 2.77
Ni1 0.5000 0.0000 0.0000  4 S 2.31
S1 0.1061 0.3882 0.0000  1 Ni 2.31
S2 0.8939 0.0000 0.6118  1 Ni 2.31
S3 0.5057 0.0000 0.3882  1 Ni 2.31
S4 0.4943 0.6118 0.0000  1 Ni 2.31

Output
The calculation puts the density of states at the Fermi level at 14.926 states/eV per cell. The total DFT energy (no corrections) comes out at -7.25 eV per atom. Its space-group type is I-42m (121).


Entry 8:
First-principles (PBE) data for a geometry-optimized CeNp2Ni2S7 structure, as listed in Alexandria via LeMat-Bulk.

Lattice parameters (Å, degrees): 4.2763 4.2763 12.8077 77.51 77.51 88.76
With the nearest neighbours (Å) after each atom.
Positions (direct):
Ce1 0.0000 0.0000 0.0000  12 S 2.99-3.26
Np1 0.7620 0.7620 0.3434  6 S 2.74-2.81
Np2 0.2380 0.2380 0.6566  6 S 2.74-2.81
Ni1 0.6764 0.6764 0.7405  5 S 2.21-2.29
Ni2 0.3236 0.3236 0.2595  5 S 2.21-2.29
S1 0.5000 0.5000 0.0000  4 Ce 2.99-3.06, 2 Ni 3.17, 8 S 3.21-3.24
S2 0.2947 0.2947 0.4358  1 Ni 2.21
S3 0.7053 0.7053 0.5642  1 Ni 2.21
S4 0.8690 0.3626 0.1978  2 Ni 2.24-2.29
S5 0.3626 0.8690 0.1978  2 Ni 2.24-2.29
S6 0.6374 0.1310 0.8022  2 Ni 2.24-2.29
S7 0.1310 0.6374 0.8022  2 Ni 2.24-2.29

Output
The calculation puts the density of states at the Fermi level at 23.432 states/eV per cell. The total DFT energy (no corrections) comes out at -7.04 eV per atom. Its space-group type is C2/m (12).


Entry 9:
First-principles (PBE) data for a geometry-optimized CeNpTcNi structure, as listed in Alexandria via LeMat-Bulk.

Lattice parameters (Å, degrees): 4.6094 4.6094 4.6094 60.00 60.00 60.00
With the nearest neighbours (Å) after each atom.
Positions (direct):
Np1 0.5000 0.5000 0.5000  4 Tc 2.82, 4 Ce 2.82
Ni1 0.0000 0.0000 0.0000  4 Ce 2.82, 4 Tc 2.82
Tc1 0.7500 0.7500 0.7500  4 Np 2.82, 4 Ni 2.82
Ce1 0.2500 0.2500 0.2500  4 Ni 2.82, 4 Np 2.82

Output
The calculation puts the density of states at the Fermi level at 9.592 states/eV per cell. The total DFT energy (no corrections) comes out at -8.70 eV per atom. Its space-group type is F-43m (216).


Entry 10:
First-principles (PBE) data for a geometry-optimized CeNpZnNi structure, as listed in Alexandria via LeMat-Bulk.

Lattice parameters (Å, degrees): 4.7092 4.7092 4.7092 60.00 60.00 60.00
With the nearest neighbours (Å) after each atom.
Positions (direct):
Np1 0.7500 0.7500 0.7500  4 Ni 2.88, 4 Ce 2.88
Ni1 0.0000 0.0000 0.0000  4 Np 2.88, 4 Zn 2.88
Zn1 0.2500 0.2500 0.2500  4 Ce 2.88, 4 Ni 2.88
Ce1 0.5000 0.5000 0.5000  4 Np 2.88, 4 Zn 2.88

Output
The calculation puts the density of states at the Fermi level at 7.044 states/eV per cell. The total DFT energy (no corrections) comes out at -6.51 eV per atom. Its space-group type is F-43m (216).


Question: The lowest total DFT energy (no corrections) belongs to which entry?
Answer: CeNpNiOs


Question: Which value of total DFT energy (no corrections) does entry 1 give?
Answer: -9.01 eV per atom


Question: Number 6 is which compound?
Answer: Ce2NpNiS5


Question: Number 5 is which compound?
Answer: CeNpNiRu